[1]
A relaxed structure of KMoPb2W, computed with PBE-GGA.

Properties
- energy of formation (meV per atom) = 3108
- total energy (eV per atom) = -3.35
- N(E_F) (states/eV/cell) = 13.40

a = 5.4168 Å, b = 5.4168 Å, c = 4.6702 Å
α = 90.00°, β = 90.00°, γ = 90.00°
Space group P4/mmm (No. 123)
Asymmetric unit:
K1 0.0000 0.0000 0.0000 [1 per cell]
Mo1 0.5000 0.5000 0.5000 [1 per cell]
Pb1 0.0000 0.5000 0.0000 [2 per cell]
W1 0.0000 0.0000 0.5000 [1 per cell]

[2]
A relaxed structure of MgRePb2, computed with PBE-GGA.

Properties
- energy of formation (meV per atom) = 619
- total energy (eV per atom) = -4.75
- N(E_F) (states/eV/cell) = 3.04

a = 3.5706 Å, b = 4.6545 Å, c = 5.6075 Å
α = 90.00°, β = 108.45°, γ = 90.00°
Space group Pm (No. 6)
Asymmetric unit:
Mg1 0.0000 0.0000 0.0000 [1 per cell]
Re1 0.8620 0.5000 0.7232 [1 per cell]
Pb1 0.2763 0.0000 0.5494 [1 per cell]
Pb2 0.5797 0.5000 0.1599 [1 per cell]

[3]
A relaxed structure of NbAg3Pd, computed with PBE-GGA.

Properties
- offset from the most stable computed form (eV per atom) = 0.000
- energy of formation (meV per atom) = 1221
- total energy (eV per atom) = -3.54
- N(E_F) (states/eV/cell) = 3.73

a = 4.9625 Å, b = 4.9625 Å, c = 4.9625 Å
α = 90.00°, β = 90.00°, γ = 90.00°
Space group Pm-3m (No. 221)
Asymmetric unit:
Nb1 0.0000 0.0000 0.0000 [1 per cell]
Ag1 0.0000 0.5000 0.5000 [3 per cell]
Pd1 0.5000 0.5000 0.5000 [1 per cell]

[4]
A relaxed structure of AlVH2, computed with PBE-GGA.

Properties
- offset from the most stable computed form (eV per atom) = 0.536
- total energy (eV per atom) = -4.37
- N(E_F) (states/eV/cell) = 7.49

a = 5.1599 Å, b = 5.1599 Å, c = 5.1599 Å
α = 90.00°, β = 90.00°, γ = 90.00°
Space group Fm-3m (No. 225)
Asymmetric unit:
Al1 0.0000 0.0000 0.0000 [4 per cell]
V1 0.0000 0.0000 0.5000 [4 per cell]
H1 0.2500 0.2500 0.2500 [8 per cell]

[5]
A relaxed structure of SrBiOs2Pb, computed with PBE-GGA.

Properties
- energy of formation (meV per atom) = 2514
- total energy (eV per atom) = -3.83
- N(E_F) (states/eV/cell) = 8.43

a = 5.1206 Å, b = 5.1206 Å, c = 5.9326 Å
α = 90.00°, β = 90.00°, γ = 90.00°
Space group P4/mmm (No. 123)
Asymmetric unit:
Sr1 0.0000 0.0000 0.0000 [1 per cell]
Bi1 0.0000 0.0000 0.5000 [1 per cell]
Os1 0.0000 0.5000 0.0000 [2 per cell]
Pb1 0.5000 0.5000 0.5000 [1 per cell]

[6]
A relaxed structure of Sm2RhAu2, computed with PBE-GGA.

Properties
- energy of formation (meV per atom) = -748
- total energy (eV per atom) = -5.42
- N(E_F) (states/eV/cell) = 4.65

a = 3.8002 Å, b = 4.0359 Å, c = 15.0456 Å
α = 90.00°, β = 90.00°, γ = 90.00°
Space group Amm2 (No. 38)
Asymmetric unit:
Sm1 0.0000 0.0000 0.0000 [2 per cell]
Sm2 0.0000 0.0000 0.2521 [2 per cell]
Rh1 0.5000 0.0000 0.4564 [2 per cell]
Au1 0.5000 0.0000 0.6371 [2 per cell]
Au2 0.5000 0.0000 0.8287 [2 per cell]

[7]
A relaxed structure of AcTh2Tl3, computed with PBE-GGA.

Properties
- energy of formation (meV per atom) = -186
- total energy (eV per atom) = -4.53
- N(E_F) (states/eV/cell) = 7.71

a = 3.6326 Å, b = 3.6326 Å, c = 13.9956 Å
α = 90.00°, β = 90.00°, γ = 90.00°
Space group P4/mmm (No. 123)
Asymmetric unit:
Ac1 0.0000 0.0000 0.0000 [1 per cell]
Th1 0.0000 0.0000 0.3382 [2 per cell]
Tl1 0.5000 0.5000 0.1761 [2 per cell]
Tl2 0.5000 0.5000 0.5000 [1 per cell]

[8]
A relaxed structure of Ag2MoPd2, computed with PBE-GGA.

Properties
- offset from the most stable computed form (eV per atom) = 0.000
- energy of formation (meV per atom) = 479
- total energy (eV per atom) = -4.91
- N(E_F) (states/eV/cell) = 8.68

a = 7.7460 Å, b = 7.7460 Å, c = 2.8250 Å
α = 90.00°, β = 90.00°, γ = 90.00°
Space group P4/mbm (No. 127)
Asymmetric unit:
Ag1 0.1690 0.3310 0.0000 [4 per cell]
Mo1 0.0000 0.0000 0.5000 [2 per cell]
Pd1 0.1291 0.6291 0.5000 [4 per cell]

[9]
A relaxed structure of ZnTc3N, computed with PBE-GGA.

Properties
- offset from the most stable computed form (eV per atom) = 1.170
- uncorrected formation energy (meV per atom) = 1193
- total energy (eV per atom) = -6.95
- N(E_F) (states/eV/cell) = 20.99

a = 4.4117 Å, b = 4.4117 Å, c = 19.6836 Å
α = 90.00°, β = 90.00°, γ = 90.00°
Space group I-4m2 (No. 119)
Asymmetric unit:
Zn1 0.0000 0.0000 0.0000 [2 per cell]
Zn2 0.0000 0.5000 0.2500 [2 per cell]
Tc1 0.0000 0.0000 0.3413 [4 per cell]
Tc2 0.0000 0.2436 0.1244 [8 per cell]
N1 0.0000 0.5000 0.6547 [4 per cell]

[10]
A relaxed structure of TmLuAlCo, computed with PBE-GGA.

Properties
- energy of formation (meV per atom) = -252
- total energy (eV per atom) = -5.21
- N(E_F) (states/eV/cell) = 13.17

a = 6.8678 Å, b = 6.8678 Å, c = 6.8678 Å
α = 90.00°, β = 90.00°, γ = 90.00°
Space group F-43m (No. 216)
Asymmetric unit:
Tm1 0.0000 0.0000 0.0000 [4 per cell]
Lu1 0.0000 0.0000 0.5000 [4 per cell]
Al1 0.2500 0.2500 0.2500 [4 per cell]
Co1 0.2500 0.2500 0.7500 [4 per cell]

[11]
A relaxed structure of Zn5In, computed with PBE-GGA.

Properties
- energy of formation (meV per atom) = 63
- total energy (eV per atom) = -1.45
- N(E_F) (states/eV/cell) = 3.63

a = 12.0769 Å, b = 2.7768 Å, c = 6.3993 Å
α = 90.00°, β = 103.10°, γ = 90.00°
Space group Cm (No. 8)
Asymmetric unit:
Zn1 0.0000 0.0000 0.0000 [2 per cell]
Zn2 0.0269 0.0000 0.4508 [2 per cell]
Zn3 0.1885 0.5000 0.3181 [2 per cell]
Zn4 0.3527 0.0000 0.1944 [2 per cell]
Zn5 0.3810 0.0000 0.6451 [2 per cell]
In1 0.1909 0.5000 0.8203 [2 per cell]

[12]
A relaxed structure of TmTl3Se3, computed with PBE-GGA.

Properties
- uncorrected formation energy (meV per atom) = -950
- total energy (eV per atom) = -4.10

a = 9.0129 Å, b = 4.1905 Å, c = 12.2691 Å
α = 90.00°, β = 92.88°, γ = 90.00°
Space group P2_1/m (No. 11)
Asymmetric unit:
Tm1 0.1124 0.2500 0.3826 [2 per cell]
Tl1 0.1473 0.2500 0.8765 [2 per cell]
Tl2 0.3367 0.7500 0.1427 [2 per cell]
Tl3 0.3854 0.7500 0.6370 [2 per cell]
Se1 0.0949 0.2500 0.1509 [2 per cell]
Se2 0.1042 0.2500 0.6147 [2 per cell]
Se3 0.3287 0.7500 0.3901 [2 per cell]